! PBE-GGA BMoN3, optimized geometry; values from VASP
! * uncorrected formation energy: -221 meV/atom
&SYSTEM
  ibrav = 0, nat = 20, ntyp = 3
/
ATOMIC_SPECIES
B 10.81 B.upf
Mo 95.94 Mo.upf
N 14.01 N.upf
CELL_PARAMETERS angstrom
5.638 0.000 0.000
-1.064 7.361 0.000
-2.523 -1.285 7.397
ATOMIC_POSITIONS crystal
B 0.094 0.460 0.293
B 0.213 0.739 0.560
B 0.787 0.261 0.440
B 0.906 0.540 0.707
Mo 0.080 0.804 0.925
Mo 0.336 0.888 0.306
Mo 0.664 0.112 0.694
Mo 0.920 0.196 0.075
N 0.057 0.967 0.166
N 0.083 0.687 0.681
N 0.157 0.394 0.122
N 0.199 0.643 0.387
N 0.378 0.917 0.594
N 0.382 0.768 0.104
N 0.618 0.232 0.896
N 0.622 0.083 0.406
N 0.801 0.357 0.613
N 0.843 0.606 0.878
N 0.917 0.313 0.319
N 0.943 0.033 0.834

! PBE-GGA Sc2AgW, optimized geometry; values from VASP
! * DOS at the Fermi energy: 0.781 states/eV/atom
! * energy of formation: 0.755 eV/f.u.
! * energy above the lowest structure with this stoichiometry: 137.2 meV/atom
&SYSTEM
  ibrav = 0, nat = 4, ntyp = 3
/
ATOMIC_SPECIES
Sc 44.96 Sc.upf
Ag 107.87 Ag.upf
W 183.84 W.upf
CELL_PARAMETERS angstrom
1.520 0.878 9.673
-1.520 0.878 9.673
0.000 -1.755 9.673
ATOMIC_POSITIONS crystal
Sc 0.247 0.247 0.247
Sc 0.753 0.753 0.753
Ag 0.000 0.000 0.000
W 0.500 0.500 0.500

! PBE-GGA BiTe2AuN, optimized geometry; values from VASP
! * DOS at the Fermi energy: 1.649 states/eV/atom
! * uncorrected formation energy: 1262 meV/atom
! * energy above the lowest structure with this stoichiometry: 492.9 meV/atom
&SYSTEM
  ibrav = 0, nat = 5, ntyp = 4
/
ATOMIC_SPECIES
Bi 208.98 Bi.upf
Te 127.60 Te.upf
Au 196.97 Au.upf
N 14.01 N.upf
CELL_PARAMETERS angstrom
5.966 0.000 0.000
0.000 5.966 0.000
0.000 0.000 4.171
ATOMIC_POSITIONS crystal
Bi 0.000 0.000 0.000
Te 0.000 0.500 0.000
Te 0.500 0.000 0.000
Au 0.500 0.500 0.500
N 0.000 0.000 0.500

! PBE-GGA CsZn8As6, optimized geometry; values from VASP
! * DOS at the Fermi energy: 0.331 states/eV/atom
! * energy of formation: -2.288 eV/f.u.
&SYSTEM
  ibrav = 0, nat = 15, ntyp = 3
/
ATOMIC_SPECIES
Cs 132.91 Cs.upf
Zn 65.41 Zn.upf
As 74.92 As.upf
CELL_PARAMETERS angstrom
5.411 3.124 3.729
-5.411 3.124 3.729
0.000 -6.248 3.729
ATOMIC_POSITIONS crystal
Cs 0.000 0.000 0.000
Zn 0.169 0.504 0.630
Zn 0.332 0.332 0.332
Zn 0.370 0.831 0.496
Zn 0.496 0.370 0.831
Zn 0.504 0.630 0.169
Zn 0.630 0.169 0.504
Zn 0.668 0.668 0.668
Zn 0.831 0.496 0.370
As 0.148 0.593 0.287
As 0.287 0.148 0.593
As 0.407 0.713 0.852
As 0.593 0.287 0.148
As 0.713 0.852 0.407
As 0.852 0.407 0.713

! PBE-GGA MnNbSb2I, optimized geometry; values from VASP
! * DOS at the Fermi energy: 0.450 states/eV/atom
! * uncorrected formation energy: 697 meV/atom
! * energy above the lowest structure with this stoichiometry: 0.0 meV/atom
&SYSTEM
  ibrav = 0, nat = 5, ntyp = 4
/
ATOMIC_SPECIES
Mn 54.94 Mn.upf
Nb 92.91 Nb.upf
Sb 121.76 Sb.upf
I 126.90 I.upf
CELL_PARAMETERS angstrom
5.348 0.000 0.000
0.000 5.348 0.000
0.000 0.000 5.764
ATOMIC_POSITIONS crystal
Mn 0.000 0.000 0.000
Nb 0.500 0.500 0.500
Sb 0.000 0.500 0.500
Sb 0.500 0.000 0.500
I 0.500 0.500 0.000

! PBE-GGA Th4SiTeSe2, optimized geometry; values from VASP
! * DOS at the Fermi energy: 0.684 states/eV/atom
! * uncorrected formation energy: -1237 meV/atom
&SYSTEM
  ibrav = 0, nat = 8, ntyp = 4
/
ATOMIC_SPECIES
Th 232.04 Th.upf
Si 28.09 Si.upf
Te 127.60 Te.upf
Se 78.96 Se.upf
CELL_PARAMETERS angstrom
7.274 0.000 0.000
0.000 4.313 0.000
-2.555 0.000 7.150
ATOMIC_POSITIONS crystal
Th 0.240 0.000 0.226
Th 0.254 0.500 0.771
Th 0.746 0.500 0.229
Th 0.760 0.000 0.774
Si 0.500 0.000 0.000
Te 0.500 0.500 0.500
Se 0.000 0.000 0.500
Se 0.000 0.500 0.000

! PBE-GGA KBe2Os, optimized geometry; values from VASP
! * DOS at the Fermi energy: 0.841 states/eV/atom
! * energy of formation: 3.790 eV/f.u.
! * energy above the lowest structure with this stoichiometry: 632.3 meV/atom
&SYSTEM
  ibrav = 0, nat = 8, ntyp = 3
/
ATOMIC_SPECIES
K 39.10 K.upf
Be 9.01 Be.upf
Os 190.23 Os.upf
CELL_PARAMETERS angstrom
-2.667 2.667 6.757
2.667 -2.667 6.757
2.667 2.667 -6.757
ATOMIC_POSITIONS crystal
K 0.375 0.625 0.750
K 0.625 0.375 0.250
Be 0.000 0.000 0.000
Be 0.000 0.000 0.500
Be 0.000 0.500 0.000
Be 0.500 0.000 0.500
Os 0.125 0.875 0.250
Os 0.875 0.125 0.750

! PBE-GGA LiAc3Al3, optimized geometry; values from VASP
! * DOS at the Fermi energy: 0.893 states/eV/atom
! * energy of formation: -1.604 eV/f.u.
&SYSTEM
  ibrav = 0, nat = 14, ntyp = 3
/
ATOMIC_SPECIES
Li 6.94 Li.upf
Ac 227.00 Ac.upf
Al 26.98 Al.upf
CELL_PARAMETERS angstrom
5.752 -2.482 0.000
5.752 2.482 0.000
-5.704 0.000 14.788
ATOMIC_POSITIONS crystal
Li 0.154 0.154 0.405
Li 0.846 0.846 0.595
Ac 0.167 0.167 0.619
Ac 0.320 0.320 0.923
Ac 0.468 0.468 0.225
Ac 0.532 0.532 0.775
Ac 0.680 0.680 0.077
Ac 0.833 0.833 0.381
Al 0.027 0.027 0.925
Al 0.175 0.175 0.229
Al 0.420 0.420 0.543
Al 0.580 0.580 0.457
Al 0.825 0.825 0.771
Al 0.973 0.973 0.075

! PBE-GGA LiSiAg, optimized geometry; values from VASP
! * DOS at the Fermi energy: 0.230 states/eV/atom
! * uncorrected formation energy: -102 meV/atom
! * energy above the lowest structure with this stoichiometry: 0.0 meV/atom
&SYSTEM
  ibrav = 0, nat = 6, ntyp = 3
/
ATOMIC_SPECIES
Li 6.94 Li.upf
Si 28.09 Si.upf
Ag 107.87 Ag.upf
CELL_PARAMETERS angstrom
2.115 -5.494 0.000
2.115 5.494 0.000
0.000 0.000 3.887
ATOMIC_POSITIONS crystal
Li 0.073 0.927 0.750
Li 0.927 0.073 0.250
Si 0.425 0.575 0.750
Si 0.575 0.425 0.250
Ag 0.226 0.774 0.250
Ag 0.774 0.226 0.750

! PBE-GGA DyPuTc, optimized geometry; values from VASP
! * DOS at the Fermi energy: 2.407 states/eV/atom
! * energy of formation: 0.484 eV/f.u.
! * energy above the lowest structure with this stoichiometry: 134.6 meV/atom
&SYSTEM
  ibrav = 0, nat = 6, ntyp = 3
/
ATOMIC_SPECIES
Dy 162.50 Dy.upf
Pu 244.00 Pu.upf
Tc 98.00 Tc.upf
CELL_PARAMETERS angstrom
-2.280 2.280 7.051
2.280 -2.280 7.051
2.280 2.280 -7.051
ATOMIC_POSITIONS crystal
Dy 0.147 0.147 0.000
Dy 0.853 0.853 0.000
Pu 0.387 0.387 0.000
Pu 0.613 0.613 0.000
Tc 0.000 0.500 0.500
Tc 0.500 0.000 0.500

! PBE-GGA TlTeH, optimized geometry; values from VASP
! * DOS at the Fermi energy: 0.019 states/eV/atom
! * energy above the lowest structure with this stoichiometry: 73.5 meV/atom
&SYSTEM
  ibrav = 0, nat = 3, ntyp = 3
/
ATOMIC_SPECIES
Tl 204.38 Tl.upf
Te 127.60 Te.upf
H 1.01 H.upf
CELL_PARAMETERS angstrom
3.763 -2.798 0.000
3.763 2.798 0.000
-1.725 0.000 4.156
ATOMIC_POSITIONS crystal
Tl 0.000 0.000 0.000
Te 0.498 0.498 0.507
H 0.644 0.644 0.300

! PBE-GGA Pr2SmHg5, optimized geometry; values from VASP
! * DOS at the Fermi energy: 0.843 states/eV/atom
! * energy of formation: -3.436 eV/f.u.
&SYSTEM
  ibrav = 0, nat = 8, ntyp = 3
/
ATOMIC_SPECIES
Pr 140.91 Pr.upf
Sm 150.36 Sm.upf
Hg 200.59 Hg.upf
CELL_PARAMETERS angstrom
-2.652 2.652 7.604
2.652 -2.652 7.604
2.652 2.652 -7.604
ATOMIC_POSITIONS crystal
Pr 0.233 0.233 0.000
Pr 0.767 0.767 0.000
Sm 0.500 0.500 0.000
Hg 0.000 0.000 0.000
Hg 0.119 0.619 0.500
Hg 0.381 0.881 0.500
Hg 0.619 0.119 0.500
Hg 0.881 0.381 0.500

! PBE-GGA SbAsS3, optimized geometry; values from VASP
! * DOS at the Fermi energy: 0.338 states/eV/atom
! * uncorrected formation energy: 382 meV/atom
! * energy above the lowest structure with this stoichiometry: 557.0 meV/atom
&SYSTEM
  ibrav = 0, nat = 5, ntyp = 3
/
ATOMIC_SPECIES
Sb 121.76 Sb.upf
As 74.92 As.upf
S 32.06 S.upf
CELL_PARAMETERS angstrom
4.738 0.000 0.000
0.000 4.738 0.000
0.000 0.000 4.738
ATOMIC_POSITIONS crystal
Sb 0.000 0.000 0.000
As 0.500 0.500 0.500
S 0.000 0.500 0.500
S 0.500 0.000 0.500
S 0.500 0.500 0.000

! PBE-GGA Nb2As2Pd, optimized geometry; values from VASP
! * DOS at the Fermi energy: 0.459 states/eV/atom
! * energy of formation: -2.071 eV/f.u.
! * energy above the lowest structure with this stoichiometry: 0.0 meV/atom
&SYSTEM
  ibrav = 0, nat = 10, ntyp = 3
/
ATOMIC_SPECIES
Nb 92.91 Nb.upf
As 74.92 As.upf
Pd 106.42 Pd.upf
CELL_PARAMETERS angstrom
7.123 0.000 0.000
0.000 7.123 0.000
0.000 0.000 3.359
ATOMIC_POSITIONS crystal
Nb 0.145 0.355 0.000
Nb 0.355 0.855 0.000
Nb 0.645 0.145 0.000
Nb 0.855 0.645 0.000
As 0.150 0.650 0.500
As 0.350 0.150 0.500
As 0.650 0.850 0.500
As 0.850 0.350 0.500
Pd 0.000 0.000 0.500
Pd 0.500 0.500 0.500

! PBE-GGA HgGe2WCl, optimized geometry; values from VASP
! * DOS at the Fermi energy: 0.561 states/eV/atom
! * uncorrected formation energy: 349 meV/atom
&SYSTEM
  ibrav = 0, nat = 5, ntyp = 4
/
ATOMIC_SPECIES
Hg 200.59 Hg.upf
Ge 72.64 Ge.upf
W 183.84 W.upf
Cl 35.45 Cl.upf
CELL_PARAMETERS angstrom
5.023 0.000 0.000
0.000 5.023 0.000
0.000 0.000 4.756
ATOMIC_POSITIONS crystal
Hg 0.000 0.000 0.000
Ge 0.000 0.500 0.500
Ge 0.500 0.000 0.500
W 0.500 0.500 0.500
Cl 0.500 0.500 0.000

! PBE-GGA Ti6Ge3H, optimized geometry; values from VASP
! * DOS at the Fermi energy: 0.909 states/eV/atom
&SYSTEM
  ibrav = 0, nat = 20, ntyp = 3
/
ATOMIC_SPECIES
Ti 47.87 Ti.upf
Ge 72.64 Ge.upf
H 1.01 H.upf
CELL_PARAMETERS angstrom
4.615 -6.709 0.000
4.615 6.709 0.000
0.000 0.000 4.897
ATOMIC_POSITIONS crystal
Ti 0.079 0.553 0.705
Ti 0.080 0.920 0.500
Ti 0.261 0.397 0.135
Ti 0.267 0.733 0.207
Ti 0.397 0.261 0.635
Ti 0.447 0.921 0.705
Ti 0.553 0.079 0.205
Ti 0.603 0.739 0.135
Ti 0.733 0.267 0.707
Ti 0.739 0.603 0.635
Ti 0.920 0.080 0.000
Ti 0.921 0.447 0.205
Ge 0.044 0.238 0.515
Ge 0.238 0.044 0.015
Ge 0.410 0.590 0.653
Ge 0.590 0.410 0.153
Ge 0.762 0.956 0.515
Ge 0.956 0.762 0.015
H 0.215 0.785 0.560
H 0.785 0.215 0.060

! PBE-GGA Sc2Zn2Rh, optimized geometry; values from VASP
! * DOS at the Fermi energy: 1.273 states/eV/atom
! * energy of formation: -0.496 eV/f.u.
! * energy above the lowest structure with this stoichiometry: 415.0 meV/atom
&SYSTEM
  ibrav = 0, nat = 10, ntyp = 3
/
ATOMIC_SPECIES
Sc 44.96 Sc.upf
Zn 65.41 Zn.upf
Rh 102.91 Rh.upf
CELL_PARAMETERS angstrom
6.897 0.000 0.000
0.000 6.897 0.000
0.000 0.000 4.100
ATOMIC_POSITIONS crystal
Sc 0.163 0.337 0.000
Sc 0.337 0.837 0.000
Sc 0.663 0.163 0.000
Sc 0.837 0.663 0.000
Zn 0.137 0.637 0.500
Zn 0.363 0.137 0.500
Zn 0.637 0.863 0.500
Zn 0.863 0.363 0.500
Rh 0.000 0.000 0.000
Rh 0.500 0.500 0.000

! PBE-GGA Y6SbAs2S3, optimized geometry; values from VASP
! * DOS at the Fermi energy: 0.361 states/eV/atom
! * uncorrected formation energy: -1705 meV/atom
&SYSTEM
  ibrav = 0, nat = 12, ntyp = 4
/
ATOMIC_SPECIES
Y 88.91 Y.upf
Sb 121.76 Sb.upf
As 74.92 As.upf
S 32.06 S.upf
CELL_PARAMETERS angstrom
8.875 -2.038 0.000
8.875 2.038 0.000
-1.823 0.000 7.938
ATOMIC_POSITIONS crystal
Y 0.000 0.000 0.231
Y 0.000 0.000 0.769
Y 0.327 0.327 0.412
Y 0.333 0.333 0.917
Y 0.667 0.667 0.083
Y 0.673 0.673 0.588
Sb 0.500 0.500 0.500
As 0.167 0.167 0.834
As 0.833 0.833 0.166
S 0.165 0.165 0.332
S 0.500 0.500 0.000
S 0.835 0.835 0.668

! PBE-GGA Tm3Ga4Pt4, optimized geometry; values from VASP
! * DOS at the Fermi energy: 0.518 states/eV/atom
! * energy of formation: -11.483 eV/f.u.
&SYSTEM
  ibrav = 0, nat = 11, ntyp = 3
/
ATOMIC_SPECIES
Tm 168.93 Tm.upf
Ga 69.72 Ga.upf
Pt 195.08 Pt.upf
CELL_PARAMETERS angstrom
-2.035 3.605 7.107
2.035 -3.605 7.107
2.035 3.605 -7.107
ATOMIC_POSITIONS crystal
Tm 0.000 0.000 0.000
Tm 0.378 0.878 0.500
Tm 0.622 0.122 0.500
Ga 0.028 0.327 0.701
Ga 0.374 0.673 0.701
Ga 0.626 0.327 0.299
Ga 0.972 0.673 0.299
Pt 0.216 0.216 0.000
Pt 0.300 0.500 0.800
Pt 0.700 0.500 0.200
Pt 0.784 0.784 0.000

! PBE-GGA Tm2CdRh3, optimized geometry; values from VASP
! * DOS at the Fermi energy: 0.242 states/eV/atom
! * energy of formation: -4.583 eV/f.u.
! * energy above the lowest structure with this stoichiometry: 0.0 meV/atom
&SYSTEM
  ibrav = 0, nat = 12, ntyp = 3
/
ATOMIC_SPECIES
Tm 168.93 Tm.upf
Cd 112.41 Cd.upf
Rh 102.91 Rh.upf
CELL_PARAMETERS angstrom
4.691 0.000 0.000
-2.345 4.062 0.000
0.000 0.000 11.506
ATOMIC_POSITIONS crystal
Tm 0.000 0.000 0.000
Tm 0.000 0.000 0.500
Tm 0.333 0.667 0.179
Tm 0.667 0.333 0.821
Cd 0.333 0.667 0.666
Cd 0.667 0.333 0.334
Rh 0.000 0.000 0.248
Rh 0.000 0.000 0.752
Rh 0.333 0.667 0.420
Rh 0.333 0.667 0.918
Rh 0.667 0.333 0.082
Rh 0.667 0.333 0.580

Number 1: E_tot -0.32038 Ha/atom, M_tot 0.0 μB per cell, ρ 3219 kg/m³. Number 2: E_tot -0.25460 Ha/atom, M_tot 0.0 μB per cell, ρ 8186 kg/m³. Number 3: E_tot -0.11359 Ha/atom, M_tot 0.0 μB per cell, ρ 7551 kg/m³. Number 4: E_tot -0.10101 Ha/atom, M_tot 0.0 μB per cell, ρ 4856 kg/m³. Number 5: E_tot -0.18777 Ha/atom, M_tot 5.4 μB per cell, ρ 5221 kg/m³. Number 6: E_tot -0.25314 Ha/atom, M_tot 0.0 μB per cell, ρ 9193 kg/m³. Number 7: E_tot -0.14691 Ha/atom, M_tot 0.0 μB per cell, ρ 4272 kg/m³. Number 8: E_tot -0.14212 Ha/atom, M_tot 0.0 μB per cell, ρ 6048 kg/m³. Number 9: E_tot -0.12853 Ha/atom, M_tot 0.0 μB per cell, ρ 5253 kg/m³. Number 10: E_tot -0.35299 Ha/atom, M_tot 9.8 μB per cell, ρ 11428 kg/m³. Number 11: E_tot -0.10970 Ha/atom, M_tot 0.0 μB per cell, ρ 6319 kg/m³. Number 12: E_tot -0.08830 Ha/atom, M_tot 0.1 μB per cell, ρ 11139 kg/m³. Number 13: E_tot -0.14145 Ha/atom, M_tot 0.0 μB per cell, ρ 4572 kg/m³. Number 14: E_tot -0.26976 Ha/atom, M_tot 0.0 μB per cell, ρ 8614 kg/m³. Number 15: E_tot -0.16603 Ha/atom, M_tot 0.0 μB per cell, ρ 7819 kg/m³. Number 16: E_tot -0.25202 Ha/atom, M_tot 0.0 μB per cell, ρ 5543 kg/m³. Number 17: E_tot -0.16948 Ha/atom, M_tot 0.0 μB per cell, ρ 5511 kg/m³. Number 18: E_tot -0.26046 Ha/atom, M_tot 0.0 μB per cell, ρ 5211 kg/m³. Number 19: E_tot -0.20435 Ha/atom, M_tot 0.0 μB per cell, ρ 12466 kg/m³. Number 20: E_tot -0.22353 Ha/atom, M_tot 0.0 μB per cell, ρ 11496 kg/m³.